This record from Alexandria describes LiMnPO4 after structural relaxation. The functional is PBE with a Hubbard U.

Calculated values
- DFT total energy (eV per atom) = -7.144
- crystal system = orthorhombic
- ΔE to the lowest computed polymorph (meV/atom) = 38
- calculated volume (A^3/atom) = 10.89
- N(E_F) (states/eV/f.u.) = 0.0
- space group = Pnma

POSCAR file:
```
LiMnPO4
1.0
4.987 0.000 0.000
0.000 6.485 0.000
0.000 0.000 9.429
Li Mn P O
4 4 4 16
Direct
0.520 0.250 0.831 Li
0.980 0.250 0.331 Li
0.480 0.750 0.169 Li
0.020 0.750 0.669 Li
0.500 0.500 0.500 Mn
0.000 0.500 0.000 Mn
0.500 0.000 0.500 Mn
0.000 0.000 0.000 Mn
0.481 0.250 0.179 P
0.019 0.250 0.679 P
0.519 0.750 0.821 P
0.981 0.750 0.321 P
0.427 0.250 0.345 O
0.073 0.250 0.845 O
0.927 0.750 0.155 O
0.573 0.750 0.655 O
0.787 0.250 0.142 O
0.713 0.250 0.642 O
0.213 0.750 0.858 O
0.287 0.750 0.358 O
0.350 0.052 0.120 O
0.150 0.052 0.620 O
0.350 0.448 0.120 O
0.150 0.448 0.620 O
0.850 0.552 0.380 O
0.650 0.552 0.880 O
0.850 0.948 0.380 O
0.650 0.948 0.880 O
```